DFT (PBE-GGA) results for a relaxed CaAl2Zn crystal.

```
CaAl2Zn
1.0
4.0941 0.0000 0.0000
0.0000 4.0941 0.0000
0.0000 0.0000 10.0158
Ca Al Zn
2 4 2
direct
0.2500 0.2500 0.2423
0.7500 0.7500 0.7577
0.2500 0.2500 0.9402
0.2500 0.7500 0.5000
0.7500 0.2500 0.5000
0.7500 0.7500 0.0598
0.2500 0.2500 0.6674
0.7500 0.7500 0.3326
```

Properties
As for the formation energy from the elements: -0.8 eV per formula unit.

---

DFT (PBE-GGA) results for a relaxed BeGeP crystal.

```
BeGeP
1.0
5.6883 0.0000 0.0000
0.0000 5.6883 0.0000
0.0000 0.0000 5.6883
Be Ge P
4 4 4
direct
0.0365 0.0365 0.0365
0.4635 0.9635 0.5365
0.5365 0.4635 0.9635
0.9635 0.5365 0.4635
0.1035 0.6035 0.8965
0.3965 0.3965 0.3965
0.6035 0.8965 0.1035
0.8965 0.1035 0.6035
0.1413 0.8587 0.3587
0.3587 0.1413 0.8587
0.6413 0.6413 0.6413
0.8587 0.3587 0.1413
```

Properties
As for the formation energy from the elements: 0.4 eV per formula unit.

---

DFT (PBE-GGA) results for a relaxed Pm5HoTm5 crystal.

```
Pm5HoTm5
1.0
9.4198 -2.9586 0.0000
9.4198 2.9586 0.0000
-2.6025 0.0000 6.5105
Pm Ho Tm
5 1 5
direct
0.0000 0.0000 0.0000
0.3232 0.3232 0.0677
0.3232 0.3232 0.5783
0.6768 0.6768 0.4217
0.6768 0.6768 0.9323
0.5000 0.5000 0.0000
0.1216 0.1216 0.6223
0.1683 0.1683 0.1689
0.5000 0.5000 0.5000
0.8317 0.8317 0.8311
0.8784 0.8784 0.3777
```

Properties
As for the formation energy from the elements: 3.0 eV per formula unit.

---

DFT (PBE-GGA) results for a relaxed Y2H4Ir crystal.

```
Y2H4Ir
1.0
-1.8356 1.8356 6.2187
1.8356 -1.8356 6.2187
1.8356 1.8356 -6.2187
Y H Ir
2 4 1
direct
0.1480 0.1480 0.0000
0.8520 0.8520 0.0000
0.0000 0.5000 0.5000
0.3565 0.3565 0.0000
0.5000 0.0000 0.5000
0.6435 0.6435 0.0000
0.5000 0.5000 0.0000
```

---

DFT (PBE-GGA) results for a relaxed Nd3Sm6Tm2Th crystal.

```
Nd3Sm6Tm2Th
1.0
3.1282 -5.4098 0.0000
3.1282 5.4098 0.0000
-2.0823 0.0000 11.8504
Nd Sm Tm Th
3 6 2 1
direct
0.0000 0.0000 0.0000
0.3332 0.6668 0.0000
0.6668 0.3332 0.0000
0.0874 0.4178 0.2550
0.2518 0.2518 0.7451
0.4178 0.0874 0.2550
0.5822 0.9126 0.7450
0.7482 0.7482 0.2549
0.9126 0.5822 0.7450
0.1667 0.8333 0.5000
0.8333 0.1667 0.5000
0.5000 0.5000 0.5000
```

Properties
As for the formation energy from the elements: 0.3 eV per formula unit.

---

DFT (PBE-GGA) results for a relaxed Y2Cd2Ga crystal.

```
Y2Cd2Ga
1.0
8.1880 0.0000 0.0000
0.0000 8.1880 0.0000
0.0000 0.0000 4.0407
Y Cd Ga
4 4 2
direct
0.1621 0.3379 0.0000
0.3379 0.8379 0.0000
0.6621 0.1621 0.0000
0.8379 0.6621 0.0000
0.1371 0.6371 0.5000
0.3629 0.1371 0.5000
0.6371 0.8629 0.5000
0.8629 0.3629 0.5000
0.0000 0.0000 0.0000
0.5000 0.5000 0.0000
```

Properties
As for the formation energy from the elements: -0.6 eV per formula unit.

---

DFT (PBE-GGA) results for a relaxed GdYRhAu crystal.

```
GdYRhAu
1.0
0.0000 3.5419 3.5419
3.5419 0.0000 3.5419
3.5419 3.5419 0.0000
Gd Y Rh Au
1 1 1 1
direct
0.0000 0.0000 0.0000
0.5000 0.5000 0.5000
0.2500 0.2500 0.2500
0.7500 0.7500 0.7500
```

Properties
As for the formation energy from the elements: -3.2 eV per formula unit.

---

DFT (PBE-GGA) results for a relaxed Zn2SbW crystal.

```
Zn2SbW
1.0
4.1891 0.0000 0.0000
0.0000 4.1891 0.0000
0.0000 0.0000 3.8851
Zn Sb W
2 1 1
direct
0.0000 0.5000 0.0000
0.5000 0.0000 0.0000
0.0000 0.0000 0.5000
0.5000 0.5000 0.5000
```

Properties
For the uncorrected formation energy, the calculation gives 0.581 eV/atom.

---

DFT (PBE-GGA) results for a relaxed Sr3HgTe crystal.

```
Sr3HgTe
1.0
6.1008 0.0000 0.0000
0.0000 6.1008 0.0000
0.0000 0.0000 6.1008
Sr Hg Te
3 1 1
direct
0.0000 0.0000 0.5000
0.0000 0.5000 0.0000
0.5000 0.0000 0.0000
0.0000 0.0000 0.0000
0.5000 0.5000 0.5000
```

Properties
For the uncorrected formation energy, the calculation gives -0.457 eV/atom.

---

DFT (PBE-GGA) results for a relaxed CaHfPt crystal.

```
CaHfPt
1.0
-1.7009 1.7009 12.5684
1.7009 -1.7009 12.5684
1.7009 1.7009 -12.5684
Ca Hf Pt
2 2 2
direct
0.0754 0.0754 0.0000
0.9246 0.9246 0.0000
0.2101 0.2101 0.0000
0.7899 0.7899 0.0000
0.3464 0.3464 0.0000
0.6536 0.6536 0.0000
```

Properties
As for the formation energy from the elements: -2.2 eV per formula unit.

---

DFT (PBE-GGA) results for a relaxed NbNiBi3 crystal.

```
NbNiBi3
1.0
5.4521 0.0000 0.0000
0.0000 5.4521 0.0000
0.0000 0.0000 5.4521
Nb Ni Bi
1 1 3
direct
0.0000 0.0000 0.0000
0.5000 0.5000 0.5000
0.0000 0.0000 0.5000
0.0000 0.5000 0.0000
0.5000 0.0000 0.0000
```

Properties
As for the formation energy from the elements: 4.8 eV per formula unit.

---

DFT (PBE-GGA) results for a relaxed Np2InSn crystal.

```
Np2InSn
1.0
4.4978 0.0000 0.0000
0.0000 4.4978 0.0000
0.0000 0.0000 4.8907
Np In Sn
2 1 1
direct
0.0000 0.5000 0.0000
0.5000 0.0000 0.0000
0.0000 0.0000 0.5000
0.5000 0.5000 0.5000
```

Properties
As for the formation energy from the elements: 0.3 eV per formula unit.

---

| no. | density (Mg/m³) | total DFT energy (no corrections) (eV per atom) |
| --- | --- | --- |
| 1 | 3.15 | -2.889 |
| 2 | 4.06 | -4.436 |
| 3 | 7.94 | -4.339 |
| 4 | 7.41 | -5.463 |
| 5 | 7.89 | -4.888 |
| 6 | 5.79 | -3.680 |
| 7 | 10.20 | -8.591 |
| 8 | 10.63 | -4.325 |
| 9 | 4.32 | -2.155 |
| 10 | 9.45 | -6.720 |
| 11 | 7.98 | -4.548 |
| 12 | 11.87 | -8.075 |